[1]
AcY2Zn: relaxed, GGA-PBE.

a = 3.666 Å, b = 3.666 Å, c = 9.084 Å
α = 90.00°, β = 90.00°, γ = 90.00°
Fractional positions:
Ac: 0.000 0.000 0.000
Y: 0.500 0.500 0.310
Y: 0.500 0.500 0.690
Zn: 0.000 0.000 0.500

Spin magnetization ... 0.000 μB/f.u.
Symmetry ... P4/mmm
Excess energy over the best structure of this formula in the dataset ... 0 meV/atom



[2]
AcY3Zn2: relaxed, GGA-PBE.

a = 3.638 Å, b = 3.638 Å, c = 12.654 Å
α = 90.00°, β = 90.00°, γ = 90.00°
Fractional positions:
Ac: 0.000 0.000 0.000
Y: 0.500 0.500 0.224
Y: 0.500 0.500 0.500
Y: 0.500 0.500 0.776
Zn: 0.000 0.000 0.361
Zn: 0.000 0.000 0.639

Spin magnetization ... 0.001 μB/f.u.
Symmetry ... P4/mmm



[3]
AcYZn2: relaxed, GGA-PBE.

a = 3.723 Å, b = 3.723 Å, c = 7.571 Å
α = 90.00°, β = 90.00°, γ = 90.00°
Fractional positions:
Ac: 0.000 0.000 0.000
Y: 0.000 0.000 0.500
Zn: 0.500 0.500 0.288
Zn: 0.500 0.500 0.712

Spin magnetization ... 0.000 μB/f.u.
Symmetry ... P4/mmm



The calculation returns the following ΔE_f values, one per record and in order: -139 -217 -277 meV per atom.